Entry 1:
Below is a relaxed MgGaCu3Se4 crystal, with properties calculated at the PBE-GGA level.

The calculation puts the total magnetization at 0.00 μB per formula unit. The space group is P-43m, No. 215. The value obtained for the electronic total energy is -3.75 eV/atom.

Lattice parameters (Å, degrees): 5.8248 5.8248 5.8248 90.00 90.00 90.00
Element x y z (fractional)
Se  0.2449  0.2449  0.2449
Cu  0.0000  0.0000  0.5000
Cu  0.0000  0.5000  0.0000
Ga  0.0000  0.0000  0.0000
Mg  0.5000  0.5000  0.5000
Cu  0.5000  0.0000  0.0000
Se  0.7551  0.2449  0.7551
Se  0.7551  0.7551  0.2449
Se  0.2449  0.7551  0.7551

=====

Entry 2:
Below is a relaxed KBe2Cu crystal, with properties calculated at the PBE-GGA level.

The calculation puts the total magnetization at 0.00 μB per formula unit. For the formation energy, the calculation gives 0.22 eV per atom. The space group is C2/m, No. 12.

Lattice parameters (Å, degrees): 3.8961 3.8961 6.3332 71.66 71.66 59.94
Element x y z (fractional)
Be  0.0781  0.0781  0.7657
Cu  0.7500  0.7500  0.7500
Be  0.4219  0.4219  0.7343
K  0.2500  0.2500  0.2500